# VTcF2 | the Alexandria database | PBE with a Hubbard U | optimized geometry
# Size of the total moment = 5.4 μB/f.u.
# Total energy = -6.3491 eV/atom
data_VTcF2
_chemical_formula_sum 'V3 Tc3 F6'
_cell_length_a 2.9376
_cell_length_b 2.9376
_cell_length_c 28.2020
_cell_angle_alpha 90.00
_cell_angle_beta 90.00
_cell_angle_gamma 120.00
_space_group_name_H-M_alt 'R -3 m'
_space_group_IT_number 166
_space_group_name_Hall '-R 3 2"'
loop_
_atom_site_label
_atom_site_fract_x
_atom_site_fract_y
_atom_site_fract_z
_atom_site_occupancy
V1 0.0000 0.0000 0.0000 1
Tc1 0.0000 0.0000 0.5000 1
F1 0.0000 0.0000 0.3755 1